(1)
Material: LaZnPb2
Method: DFT, meta-GGA SCAN
State: PBEsol geometry

abc: 4.5225 4.5519 10.2641
angles: 90.00 90.00 90.00
With the nearest neighbours (Å) after each atom.
Space group Immm (No. 71)
Asymmetric unit:
La (0.0000, 0.0000, 0.0000)  4 Zn 3.21, 8 Pb 3.42-3.43
Zn (0.0000, 0.0000, 0.5000)  4 La 3.21, 8 Pb 3.41-3.44
Pb (0.0000, 0.5000, 0.2492)  4 Pb 3.21, 4 Zn 3.41-3.44, 4 La 3.42-3.43

***

(2)
Material: ScTa2MnIr
Method: DFT, meta-GGA SCAN
State: PBEsol geometry

abc: 4.8243 4.8243 4.8755
angles: 90.00 90.00 90.00
With the nearest neighbours (Å) after each atom.
Space group P4/mmm (No. 123)
Asymmetric unit:
Sc (0.0000, 0.0000, 0.0000)  2 Ir 2.44
Ta (0.0000, 0.5000, 0.5000)  2 Ir 2.41
Mn (0.5000, 0.5000, 0.0000)  4 Sc 3.41, 8 Ta 3.43
Ir (0.0000, 0.0000, 0.5000)  4 Ta 2.41, 2 Sc 2.44

***

Per-record DFT formation energy, eV per atom: -0.409, 0.613
Per-record mass density, g cm⁻³: 9.72, 9.57
Per-record magnetization, μB per formula unit: 0.00, 4.40